# BaU2CoO8

A relaxed structure of BaU2CoO8 (PBE+U, Alexandria).

```
BaU2CoO8
1.0
5.186 0.000 0.000
0.000 7.089 0.000
-0.560 0.000 5.208
Ba U Co O
1 2 1 8
direct
0.000 0.000 0.000 Ba
0.500 0.260 0.500 U
0.500 0.740 0.500 U
0.000 0.500 0.000 Co
0.215 0.294 0.219 O
0.215 0.706 0.219 O
0.331 0.500 0.669 O
0.342 0.000 0.660 O
0.658 0.000 0.340 O
0.669 0.500 0.331 O
0.785 0.294 0.781 O
0.785 0.706 0.781 O
```

Calculated values
Calculated volume in Å³ per atom: 16.0
Uncorrected energy in eV per atom: -8.449
Total magnetic moment in μB per formula unit: 3.03